## MnAgPO2 (GGA+U)

Data for an optimized crystal structure of MnAgPO2.

Output
- Density of states at the Fermi level: 3.9 states/eV/cell
- Symmetry: P4/mmm
- Calculated density: 5.1 g/cm3
- Relative energy among the computed polymorphs: 0.000 eV per atom

abc: 3.6884 3.6884 5.4076
angles: 90.00 90.00 90.00
Sites, in units of the cell vectors:
P 0.0000 0.0000 0.5000
Mn 0.0000 0.0000 0.0000
O 0.0000 0.5000 0.0000
O 0.5000 0.0000 0.0000
Ag 0.5000 0.5000 0.5000